Record 1
CrHgCl2 at its PBEsol-relaxed geometry, computed with SCAN.

Cell: 3.8487 5.0395 5.0395 Å, 97.80 105.70 105.70°
Last column: nearest neighbours and their distance in Å.
Positions (direct):
Cr 0.5000 0.0000 0.0000  4 Cl 2.73
Hg 0.5000 0.5000 0.5000  4 Cl 2.73
Cl 0.0000 0.5000 0.0000  2 Cr 2.73, 2 Hg 2.73
Cl 0.0000 0.0000 0.5000  2 Hg 2.73, 2 Cr 2.73

Properties
* space-group type: C2/m

---

Record 2
CrHgCl2 at its PBEsol-relaxed geometry, computed with SCAN.

Cell: 3.3399 5.6440 5.6440 Å, 67.02 72.79 72.79°
Last column: nearest neighbours and their distance in Å.
Positions (direct):
Cr 0.4885 0.5115 0.5115  2 Cl 2.30
Hg 0.2316 0.2684 0.2684  2 Cl 2.68, 2 Cr 2.71
Cl 0.9703 0.0297 0.0297  2 Hg 2.68
Cl 0.8096 0.6904 0.6904  2 Cr 2.30

Properties
* space-group type: Imm2

---

Record 3
CrHgCl2 at its PBEsol-relaxed geometry, computed with SCAN.

Cell: 3.3269 6.0065 6.2465 Å, 121.10 105.33 90.06°
Last column: nearest neighbours and their distance in Å.
Positions (direct):
Cr 0.4331 0.6213 0.8665  4 Cl 2.32
Hg 0.1948 0.6362 0.3887  1 Cr 2.93
Cl 0.0215 0.9409 0.0431  2 Cr 2.32
Cl 0.8506 0.3017 0.7017  2 Cr 2.32

Properties
* space-group type: Cm

---

Record 4
Cr2HgCl at its PBEsol-relaxed geometry, computed with SCAN.

Cell: 4.6855 4.6855 4.6855 Å, 60.00 60.00 60.00°
Last column: nearest neighbours and their distance in Å.
Positions (direct):
Cr 0.0000 0.0000 0.0000  4 Hg 2.87, 4 Cr 2.87
Cr 0.2500 0.2500 0.2500  4 Cl 2.87, 4 Cr 2.87
Hg 0.7500 0.7500 0.7500  4 Cr 2.87, 4 Cl 2.87
Cl 0.5000 0.5000 0.5000  4 Hg 2.87, 4 Cr 2.87

Properties
* space-group type: F-43m

---

Record 5
Cr2HgSCl at its PBEsol-relaxed geometry, computed with SCAN.

Cell: 4.6856 4.6856 5.2788 Å, 90.00 90.00 90.00°
Last column: nearest neighbours and their distance in Å.
Positions (direct):
Cr 0.0000 0.5000 0.0000  2 S 2.34
Cr 0.5000 0.0000 0.0000  2 S 2.34
S 0.0000 0.0000 0.0000  4 Cr 2.34
Hg 0.0000 0.0000 0.5000  2 S 2.64
Cl 0.5000 0.5000 0.5000  4 Hg 3.31, 8 Cr 3.53

Properties
* space-group type: P4/mmm

---

Record 6
CrReICl2 at its PBEsol-relaxed geometry, computed with SCAN.

Cell: 4.8989 5.6828 5.6828 Å, 90.00 90.00 90.00°
Last column: nearest neighbours and their distance in Å.
Positions (direct):
I 0.0000 0.0000 0.0000  2 Re 2.45
Re 0.5000 0.0000 0.0000  2 I 2.45
Cl 0.0000 0.0000 0.5000  2 I 2.84
Cl 0.0000 0.5000 0.0000  2 I 2.84
Cr 0.5000 0.5000 0.5000  8 Cl 3.75, 4 Re 4.02

Properties
* space-group type: P4/mmm

---

Energy relative to the elements, uncorrected values, unit meV/atom, following the record order: -310, -692, -973, 358, -70, 1535.